Record 1
Hg4SF6 after structural relaxation. Source: Alexandria, functional PBE.

Summary:
* theoretical density: 8.43 g cm⁻³
* space-group type: P6_3mc
* energy relative to the elements, uncorrected: -13.27 eV per formula unit

a b c (Å): 6.529 8.131 8.131
angles (deg): 120.00 90.00 90.00
Positions (direct):
Hg1 0.357 0.333 0.667
Hg2 0.857 0.667 0.333
Hg3 0.870 0.650 0.825
Hg4 0.870 0.175 0.350
Hg5 0.870 0.175 0.825
Hg6 0.370 0.350 0.175
Hg7 0.370 0.825 0.650
Hg8 0.370 0.825 0.175
S1 0.722 0.333 0.667
S2 0.222 0.667 0.333
F1 0.470 0.758 0.879
F2 0.470 0.121 0.242
F3 0.470 0.121 0.879
F4 0.970 0.242 0.121
F5 0.970 0.879 0.758
F6 0.970 0.879 0.121
F7 0.631 0.915 0.457
F8 0.631 0.543 0.085
F9 0.631 0.543 0.457
F10 0.131 0.085 0.543
F11 0.131 0.457 0.915
F12 0.131 0.457 0.543

Record 2
HgSF6 after structural relaxation. Source: Alexandria, functional PBE.

Summary:
* theoretical density: 4.90 g cm⁻³
* space-group type: C2/m
* energy relative to the elements, uncorrected: -10.68 eV per formula unit
* DOS at the Fermi energy: 0.000 states/eV/f.u.

a b c (Å): 5.169 5.554 5.027
angles (deg): 56.47 83.22 77.65
Positions (direct):
Hg1 0.000 0.000 0.000
S1 0.500 0.500 0.000
F1 0.732 0.470 0.698
F2 0.732 0.169 0.302
F3 0.268 0.831 0.698
F4 0.268 0.530 0.302
F5 0.690 0.742 0.000
F6 0.310 0.258 0.000

Record 3
HgS2F3 after structural relaxation. Source: Alexandria, functional PBE.

Summary:
* theoretical density: 4.86 g cm⁻³
* space-group type: C2/c
* energy relative to the elements, uncorrected: -2.81 eV per formula unit
* DOS at the Fermi energy: 2.119 states/eV/f.u.

a b c (Å): 8.742 8.742 3.930
angles (deg): 93.52 93.52 47.17
Positions (direct):
Hg1 0.765 0.235 0.750
Hg2 0.235 0.765 0.250
S1 0.374 0.242 0.639
S2 0.242 0.374 0.139
S3 0.758 0.626 0.861
S4 0.626 0.758 0.361
F1 0.625 0.375 0.250
F2 0.375 0.625 0.750
F3 0.903 0.907 0.971
F4 0.093 0.097 0.529
F5 0.907 0.903 0.471
F6 0.097 0.093 0.029

Record 4
Hg3SF5 after structural relaxation. Source: Alexandria, functional PBE.

Summary:
* theoretical density: 7.04 g cm⁻³
* space-group type: C2/m
* energy relative to the elements, uncorrected: -9.63 eV per formula unit
* DOS at the Fermi energy: 5.116 states/eV/f.u.

a b c (Å): 6.637 6.637 8.787
angles (deg): 73.37 73.38 71.79
Each line ends with the local moment (μB).
Positions (direct):
Hg1 0.335 0.335 0.166  0.01
Hg2 0.341 0.341 0.677  0.02
Hg3 0.000 0.000 0.000  0.06
Hg4 0.000 0.000 0.500  0.04
Hg5 0.665 0.665 0.834  0.01
Hg6 0.659 0.659 0.323  0.02
S1 0.892 0.892 0.292  0.33
S2 0.108 0.108 0.708  0.33
F1 0.643 0.017 0.668  0.03
F2 0.318 0.682 0.000  0.03
F3 0.238 0.238 0.972  0.02
F4 0.552 0.552 0.636  0.01
F5 0.448 0.448 0.364  0.01
F6 0.762 0.762 0.028  0.02
F7 0.017 0.643 0.668  0.03
F8 0.682 0.318 0.000  0.03
F9 0.357 0.983 0.332  0.03
F10 0.983 0.357 0.332  0.03

Record 5
Hg7SF12 after structural relaxation. Source: Alexandria, functional PBE.

Summary:
* theoretical density: 7.01 g cm⁻³
* space-group type: R-3
* energy relative to the elements, uncorrected: -24.88 eV per formula unit

a b c (Å): 8.913 7.742 7.741
angles (deg): 73.79 67.43 112.57
Positions (direct):
Hg1 0.851 0.213 0.135
Hg2 0.014 0.865 0.348
Hg3 0.362 0.348 0.787
Hg4 0.500 0.000 0.000
Hg5 0.638 0.652 0.213
Hg6 0.986 0.135 0.652
Hg7 0.149 0.787 0.865
S1 0.000 0.000 0.000
F1 0.812 0.482 0.133
F2 0.055 0.867 0.615
F3 0.360 0.191 0.089
F4 0.551 0.911 0.280
F5 0.670 0.615 0.519
F6 0.831 0.280 0.809
F7 0.169 0.720 0.191
F8 0.330 0.385 0.481
F9 0.449 0.089 0.720
F10 0.640 0.809 0.911
F11 0.945 0.133 0.385
F12 0.188 0.518 0.867

Record 6
Hg2SF8 after structural relaxation. Source: Alexandria, functional PBE.

Summary:
* theoretical density: 4.82 g cm⁻³
* space-group type: Cm
* energy relative to the elements, uncorrected: -15.27 eV per formula unit
* DOS at the Fermi energy: 0.000 states/eV/f.u.

a b c (Å): 3.838 7.529 7.529
angles (deg): 107.54 97.95 97.95
Positions (direct):
S1 0.690 0.005 0.005
Hg1 0.521 0.645 0.364
Hg2 0.521 0.364 0.645
F1 0.600 0.219 0.038
F2 0.600 0.038 0.219
F3 0.207 0.370 0.370
F4 0.023 0.274 0.736
F5 0.023 0.736 0.274
F6 0.849 0.632 0.632
F7 0.483 0.966 0.785
F8 0.483 0.785 0.966

Record 7
HgS3F2 after structural relaxation. Source: Alexandria, functional PBE.

Summary:
* theoretical density: 3.56 g cm⁻³
* space-group type: P-1
* energy relative to the elements, uncorrected: -3.85 eV per formula unit
* DOS at the Fermi energy: 0.000 states/eV/f.u.

a b c (Å): 7.994 8.538 7.020
angles (deg): 105.32 107.92 124.44
Positions (direct):
Hg1 0.158 0.581 0.312
Hg2 0.842 0.419 0.688
S1 0.242 0.457 0.554
S2 0.622 0.918 0.115
S3 0.758 0.543 0.446
S4 0.378 0.082 0.885
S5 0.387 0.246 0.148
S6 0.613 0.754 0.852
F1 0.878 0.268 0.864
F2 0.594 0.794 0.271
F3 0.122 0.732 0.136
F4 0.406 0.206 0.729

Record 8
Hg2SF after structural relaxation. Source: Alexandria, functional PBE.

Summary:
* theoretical density: 6.81 g cm⁻³
* space-group type: R-3m
* energy relative to the elements, uncorrected: -1.60 eV per formula unit
* energy relative to the lowest polymorph listed for this composition: 159.7 meV per atom
* DOS at the Fermi energy: 1.688 states/eV/f.u.

a b c (Å): 4.220 4.220 7.555
angles (deg): 73.78 73.78 60.00
Positions (direct):
S1 0.500 0.500 0.500
Hg1 0.105 0.105 0.686
Hg2 0.895 0.895 0.314
F1 0.000 0.000 0.000